# YPaSnO6, optimized geometry, DFT PBE
# Energy relative to the elements, uncorrected ... -2867 meV/atom
# Raw total energy ... -151.04 eV per cell
# Spin magnetization ... 0.00 Bohr magnetons per cell
data_YPaSnO6
_chemical_formula_sum 'Y2 Pa2 Sn2 O12'
_cell_length_a 5.5604
_cell_length_b 5.5604
_cell_length_c 9.5852
_cell_angle_alpha 90.00
_cell_angle_beta 90.00
_cell_angle_gamma 120.00
_symmetry_space_group_name_H-M 'P -3 1 c'
_symmetry_Int_Tables_number 163
_symmetry_space_group_name_Hall '-P 3 2c'
loop_
_atom_site_label
_atom_site_type_symbol
_atom_site_fract_x
_atom_site_fract_y
_atom_site_fract_z
Y1 Y 0.3333 0.6667 0.2500
Pa1 Pa 0.0000 0.0000 0.0000
Sn1 Sn 0.3333 0.6667 0.7500
O1 O 0.0253 0.3415 0.6292